1.
# Pa2P3Pd2

Pa2P3Pd2 after structural relaxation (PBE, Alexandria).

space-group type: No. 12
E: -104.9 eV/cell
DFT formation energy: -0.979 eV per atom
volume: 265 Å³/cell

a b c (Å): 7.4295 7.4295 11.3369
angles (deg): 122.45 122.45 30.58
Last column: nearest neighbours and their distance in Å.
Atoms (fractional coordinates):
Pa 0.0978 0.0978 0.4470  7 P 2.83-3.11, 3 Pd 3.13-3.15
Pa 0.2397 0.2397 0.8397  6 P 2.77-2.85
Pa 0.7603 0.7603 0.1603  6 P 2.77-2.85
Pa 0.9022 0.9022 0.5530  7 P 2.83-3.11, 3 Pd 3.13-3.15
P 0.1206 0.1206 0.9699  4 Pd 2.47-2.49
P 0.3284 0.3284 0.6685  3 Pd 2.52-2.61
P 0.4010 0.4010 0.3616  1 Pd 2.44
P 0.5990 0.5990 0.6384  1 Pd 2.44
P 0.6716 0.6716 0.3315  3 Pd 2.52-2.61
P 0.8794 0.8794 0.0301  4 Pd 2.47-2.49
Pd 0.0884 0.0884 0.1642  4 P 2.49-2.52
Pd 0.4528 0.4528 0.1902  4 P 2.44-2.61
Pd 0.5472 0.5472 0.8098  4 P 2.44-2.61
Pd 0.9116 0.9116 0.8358  4 P 2.49-2.52

2.
# CaLaNdHg

CaLaNdHg after structural relaxation (PBE, Alexandria).

space-group type: No. 216
E: -12.4 eV/cell
DFT formation energy: -0.104 eV per atom
polymorph energy (0 for the lowest one): 0.136 eV/atom
volume: 127 Å³/cell

a b c (Å): 5.6491 5.6491 5.6491
angles (deg): 60.00 60.00 60.00
Last column: nearest neighbours and their distance in Å.
Atoms (fractional coordinates):
Ca 0.0000 0.0000 0.0000  4 La 3.46, 4 Nd 3.46
La 0.2500 0.2500 0.2500  4 Hg 3.46, 4 Ca 3.46
Nd 0.7500 0.7500 0.7500  4 Hg 3.46, 4 Ca 3.46
Hg 0.5000 0.5000 0.5000  4 Nd 3.46, 4 La 3.46

3.
# Ho8Sn2Hg3

Ho8Sn2Hg3 after structural relaxation (PBE, Alexandria).

space-group type: No. 12
E: -48.4 eV/cell
DFT formation energy: -0.224 eV per atom
volume: 397 Å³/cell

a b c (Å): 9.6812 9.6812 6.0538
angles (deg): 103.60 103.60 46.35
Last column: nearest neighbours and their distance in Å.
Atoms (fractional coordinates):
Ho 0.0969 0.0969 0.4767  3 Hg 2.96-2.99, 1 Sn 2.98
Ho 0.1308 0.6256 0.0001  1 Hg 2.90, 2 Sn 3.02-3.16
Ho 0.3072 0.3072 0.4110  2 Sn 3.19-3.27
Ho 0.3744 0.8692 0.9999  1 Hg 2.90, 2 Sn 3.02-3.16
Ho 0.6256 0.1308 0.0001  1 Hg 2.90, 2 Sn 3.02-3.16
Ho 0.6928 0.6928 0.5890  2 Sn 3.19-3.27
Ho 0.8692 0.3744 0.9999  1 Hg 2.90, 2 Sn 3.02-3.16
Ho 0.9031 0.9031 0.5233  3 Hg 2.96-2.99, 1 Sn 2.98
Sn 0.2416 0.2416 0.8548  7 Ho 2.98-3.27
Sn 0.7584 0.7584 0.1452  7 Ho 2.98-3.27
Hg 0.0000 0.0000 0.0000  6 Ho 2.90-2.96
Hg 0.3174 0.6826 0.5000  1 Hg 2.78, 2 Ho 2.99
Hg 0.6826 0.3174 0.5000  1 Hg 2.78, 2 Ho 2.99

4.
# NiMo2Cl

NiMo2Cl after structural relaxation (PBE, Alexandria).

space-group type: No. 123
E: -25.7 eV/cell
polymorph energy (0 for the lowest one): 0.695 eV/atom
formation energy without anion corrections: 87.42 kJ/mol of atoms
volume: 60 Å³/cell

a b c (Å): 3.6867 3.6867 4.4493
angles (deg): 90.00 90.00 90.00
Last column: nearest neighbours and their distance in Å.
Atoms (fractional coordinates):
Ni 0.0000 0.0000 0.0000  4 Cl 2.61, 8 Mo 2.89
Mo 0.0000 0.5000 0.5000  4 Mo 2.61, 4 Cl 2.89, 4 Ni 2.89
Mo 0.5000 0.0000 0.5000  4 Mo 2.61, 4 Cl 2.89, 4 Ni 2.89
Cl 0.5000 0.5000 0.0000  4 Ni 2.61, 8 Mo 2.89

5.
# Mn2MoSe

Mn2MoSe after structural relaxation (PBE, Alexandria).

space-group type: No. 10
E: -31.5 eV/cell
formation energy without anion corrections: 28.16 kJ/mol of atoms
volume: 58 Å³/cell

a b c (Å): 2.8907 4.1037 4.8717
angles (deg): 90.00 91.57 90.00
Last column: nearest neighbours and their distance in Å.
Atoms (fractional coordinates):
Mn 0.0949 0.0000 0.2357  1 Mn 2.35, 2 Se 2.44
Mn 0.9051 0.0000 0.7643  1 Mn 2.35, 2 Se 2.44
Mo 0.5000 0.5000 0.0000  8 Mn 2.64-2.89, 4 Se 2.80-2.87, 2 Mo 2.89
Se 0.0000 0.5000 0.5000  4 Mn 2.44

6.
# BaSrBr2

BaSrBr2 after structural relaxation (PBE, Alexandria).

space-group type: No. 47
E: -12.5 eV/cell
polymorph energy (0 for the lowest one): 0.115 eV/atom
formation energy without anion corrections: -133.68 kJ/mol of atoms
volume: 167 Å³/cell

a b c (Å): 4.2103 5.0378 7.8899
angles (deg): 90.00 90.00 90.00
Last column: nearest neighbours and their distance in Å.
Atoms (fractional coordinates):
Ba 0.0000 0.0000 0.0000  4 Br 3.28
Sr 0.5000 0.0000 0.5000  4 Br 3.28
Br 0.0000 0.5000 0.5000  4 Sr 3.28
Br 0.5000 0.5000 0.0000  4 Ba 3.28